[1]
# Pr2Ho3ErTm6 GGA-PBE optimized geometry
# ΔE_f (meV per atom): 24
data_Pr2Ho3ErTm6
_chemical_formula_sum 'Pr4 Ho6 Er2 Tm12'
_space_group_name_H-M_alt 'C 1 2/m 1'
_space_group_IT_number 12
_space_group_name_Hall '-C 2y'
_cell_length_a 6.129
_cell_length_b 10.607
_cell_length_c 11.684
_cell_angle_alpha 90.00
_cell_angle_beta 100.04
_cell_angle_gamma 90.00
loop_
_atom_site_label
_atom_site_fract_x
_atom_site_fract_y
_atom_site_fract_z
Pr1 0.000 0.167 0.000
Ho1 0.000 0.000 0.500
Ho2 0.000 0.333 0.500
Er1 0.000 0.500 0.000
Tm1 0.248 0.500 0.747
Tm2 0.249 0.166 0.747

***

[2]
# PrHoEr2Tm5 GGA-PBE optimized geometry
# ΔE_f (meV per atom): 169
data_PrHoEr2Tm5
_chemical_formula_sum 'Pr4 Ho4 Er8 Tm20'
_space_group_name_H-M_alt 'C m c 21'
_space_group_IT_number 36
_space_group_name_Hall 'C 2c -2'
_cell_length_a 5.550
_cell_length_b 19.628
_cell_length_c 10.462
_cell_angle_alpha 90.00
_cell_angle_beta 90.00
_cell_angle_gamma 90.00
loop_
_atom_site_label
_atom_site_fract_x
_atom_site_fract_y
_atom_site_fract_z
Pr1 0.000 0.083 0.000
Ho1 0.000 0.300 0.562
Er1 0.000 0.387 0.868
Er2 0.000 0.389 0.283
Tm1 0.000 0.022 0.285
Tm2 0.000 0.113 0.571
Tm3 0.000 0.201 0.260
Tm4 0.000 0.219 0.862
Tm5 0.000 0.482 0.574

***

[3]
# PrHo2Er6Tm3 GGA-PBE optimized geometry
# ΔE_f (meV per atom): 24
data_PrHo2Er6Tm3
_chemical_formula_sum 'Pr2 Ho4 Er12 Tm6'
_space_group_name_H-M_alt 'C 1 2/m 1'
_space_group_IT_number 12
_space_group_name_Hall '-C 2y'
_cell_length_a 6.101
_cell_length_b 10.554
_cell_length_c 11.671
_cell_angle_alpha 90.00
_cell_angle_beta 100.00
_cell_angle_gamma 90.00
loop_
_atom_site_label
_atom_site_fract_x
_atom_site_fract_y
_atom_site_fract_z
Pr1 0.000 0.000 0.000
Ho1 0.000 0.333 0.000
Er1 0.248 0.333 0.747
Er2 0.249 0.000 0.747
Tm1 0.000 0.167 0.500
Tm2 0.000 0.500 0.500

***

[4]
# PrHoEr2Tm GGA-PBE optimized geometry
# ΔE_f (meV per atom): 381
data_PrHoEr2Tm
_chemical_formula_sum 'Pr4 Ho4 Er8 Tm4'
_space_group_name_H-M_alt 'C m c m'
_space_group_IT_number 63
_space_group_name_Hall '-C 2c 2'
_cell_length_a 8.352
_cell_length_b 11.427
_cell_length_c 7.186
_cell_angle_alpha 90.00
_cell_angle_beta 90.00
_cell_angle_gamma 90.00
loop_
_atom_site_label
_atom_site_fract_x
_atom_site_fract_y
_atom_site_fract_z
Pr1 0.000 0.230 0.250
Ho1 0.000 0.498 0.750
Er1 0.190 0.000 0.000
Tm1 0.000 0.219 0.750

***

[5]
# Pr6Ho3Er2Tm GGA-PBE optimized geometry
# ΔE_f (meV per atom): 13
data_Pr6Ho3Er2Tm
_chemical_formula_sum 'Pr12 Ho6 Er4 Tm2'
_space_group_name_H-M_alt 'C 1 2/m 1'
_space_group_IT_number 12
_space_group_name_Hall '-C 2y'
_cell_length_a 6.285
_cell_length_b 10.883
_cell_length_c 11.822
_cell_angle_alpha 90.00
_cell_angle_beta 100.18
_cell_angle_gamma 90.00
loop_
_atom_site_label
_atom_site_fract_x
_atom_site_fract_y
_atom_site_fract_z
Pr1 0.250 0.000 0.249
Pr2 0.250 0.167 0.751
Ho1 0.000 0.000 0.500
Ho2 0.000 0.333 0.500
Er1 0.000 0.167 0.000
Tm1 0.000 0.500 0.000

***

[6]
# PrHo2Er4Tm GGA-PBE optimized geometry
# ΔE_f (meV per atom): 443
data_PrHo2Er4Tm
_chemical_formula_sum 'Pr4 Ho8 Er16 Tm4'
_space_group_name_H-M_alt 'I m m a'
_space_group_IT_number 74
_space_group_name_Hall '-I 2b 2'
_cell_length_a 6.752
_cell_length_b 11.696
_cell_length_c 13.213
_cell_angle_alpha 90.00
_cell_angle_beta 90.00
_cell_angle_gamma 90.00
loop_
_atom_site_label
_atom_site_fract_x
_atom_site_fract_y
_atom_site_fract_z
Pr1 0.000 0.000 0.000
Ho1 0.000 0.000 0.500
Ho2 0.250 0.250 0.250
Er1 0.000 0.001 0.749
Er2 0.248 0.250 0.501
Tm1 0.250 0.250 0.750

***

So what do the calculations give for electronic total energy? Going down the list: -4.533; -4.369; -4.537; -4.210; -4.654; -4.139 eV per atom.